(1)
Compound: PmTm3Bi2
Source: Alexandria via LeMat-Bulk
Functional: GGA-PBE
Structure: relaxed

Summary:
The value obtained for the polymorph energy (0 for the lowest one) is 72 meV per atom. The size of the total moment is 0.00 μB per atom. The value obtained for the volume is 732.72 Å³/cell.

a = 18.631 Å, b = 4.328 Å, c = 9.892 Å
α = 90.00°, β = 113.29°, γ = 90.00°
Space group C2/m (No. 12)
Symmetry-distinct sites (fractional):
Pm 0.112 0.000 0.117 [4 per cell]
Tm 0.057 0.000 0.670 [4 per cell]
Tm 0.136 0.500 0.479 [4 per cell]
Tm 0.189 0.500 0.889 [4 per cell]
Bi 0.012 0.500 0.843 [4 per cell]
Bi 0.248 0.000 0.709 [4 per cell]

=====

(2)
Compound: PmTm2Bi
Source: Alexandria via LeMat-Bulk
Functional: GGA-PBE
Structure: relaxed

Summary:
The value obtained for the polymorph energy (0 for the lowest one) is 128 meV per atom. The size of the total moment is 0.00 μB per atom. The value obtained for the volume is 115.70 Å³/cell.

a = 4.878 Å, b = 4.878 Å, c = 4.862 Å
α = 90.00°, β = 90.00°, γ = 90.00°
Space group P4/mmm (No. 123)
Symmetry-distinct sites (fractional):
Pm 0.000 0.000 0.000 [1 per cell]
Tm 0.000 0.500 0.500 [2 per cell]
Bi 0.500 0.500 0.000 [1 per cell]

=====

(3)
Compound: PmTm2Bi
Source: Alexandria via LeMat-Bulk
Functional: GGA-PBE
Structure: relaxed

Summary:
The value obtained for the polymorph energy (0 for the lowest one) is 0 meV per atom. The size of the total moment is 0.00 μB per atom. The value obtained for the volume is 490.76 Å³/cell.

a = 4.638 Å, b = 22.843 Å, c = 4.632 Å
α = 90.00°, β = 90.00°, γ = 90.00°
Space group Cmcm (No. 63)
Symmetry-distinct sites (fractional):
Pm 0.000 0.193 0.250 [4 per cell]
Tm 0.000 0.056 0.750 [4 per cell]
Tm 0.000 0.442 0.750 [4 per cell]
Bi 0.000 0.337 0.250 [4 per cell]

=====

(4)
Compound: PmTm2Bi
Source: Alexandria via LeMat-Bulk
Functional: GGA-PBE
Structure: relaxed

Summary:
The value obtained for the polymorph energy (0 for the lowest one) is 351 meV per atom. The size of the total moment is 0.00 μB per atom. The value obtained for the volume is 464.93 Å³/cell.

a = 7.747 Å, b = 7.747 Å, c = 7.747 Å
α = 90.00°, β = 90.00°, γ = 90.00°
Space group Fm-3m (No. 225)
Symmetry-distinct sites (fractional):
Pm 0.000 0.000 0.000 [4 per cell]
Tm 0.250 0.250 0.250 [8 per cell]
Bi 0.000 0.000 0.500 [4 per cell]

=====

(5)
Compound: Pm2TmBi
Source: Alexandria via LeMat-Bulk
Functional: GGA-PBE
Structure: relaxed

Summary:
The value obtained for the polymorph energy (0 for the lowest one) is 397 meV per atom. The size of the total moment is 0.00 μB per atom. The value obtained for the volume is 403.88 Å³/cell.

a = 3.5604 Å, b = 3.5604 Å, c = 36.7887 Å
α = 90.00°, β = 90.00°, γ = 120.00°
Space group R-3m (No. 166, hexagonal axes)
Symmetry-distinct sites (fractional):
Pm 0.0000 0.0000 0.0880 [6 per cell]
Tm 0.0000 0.0000 0.5000 [3 per cell]
Bi 0.0000 0.0000 0.0000 [3 per cell]

=====

(6)
Compound: Pm2Tm2Bi3
Source: Alexandria via LeMat-Bulk
Functional: GGA-PBE
Structure: relaxed

Summary:
The value obtained for the raw total energy is -4.886 eV per atom. The size of the total moment is 0.00 μB per atom. The value obtained for the volume is 476.95 Å³/cell.

a = 14.256 Å, b = 4.544 Å, c = 7.454 Å
α = 90.00°, β = 98.99°, γ = 90.00°
Space group C2/m (No. 12)
Symmetry-distinct sites (fractional):
Pm 0.123 0.000 0.349 [4 per cell]
Tm 0.116 0.500 0.887 [4 per cell]
Bi 0.000 0.500 0.500 [2 per cell]
Bi 0.236 0.000 0.757 [4 per cell]

=====

(7)
Compound: Pm2TmBi
Source: Alexandria via LeMat-Bulk
Functional: GGA-PBE
Structure: relaxed

Summary:
The value obtained for the polymorph energy (0 for the lowest one) is 0 meV per atom. The size of the total moment is 0.00 μB per atom. The value obtained for the volume is 125.14 Å³/cell.

a = 4.286 Å, b = 4.286 Å, c = 6.812 Å
α = 90.00°, β = 90.00°, γ = 90.00°
Space group P4/mmm (No. 123)
Symmetry-distinct sites (fractional):
Pm 0.000 0.000 0.240 [2 per cell]
Tm 0.500 0.500 0.500 [1 per cell]
Bi 0.500 0.500 0.000 [1 per cell]

=====

(8)
Compound: PmTm5Bi4
Source: Alexandria via LeMat-Bulk
Functional: GGA-PBE
Structure: relaxed

Summary:
The value obtained for the raw total energy is -4.789 eV per atom. The size of the total moment is 0.18 μB per atom. The value obtained for the volume is 653.67 Å³/cell.

a = 19.864 Å, b = 4.388 Å, c = 7.652 Å
α = 90.00°, β = 101.46°, γ = 90.00°
Space group C2/m (No. 12)
Symmetry-distinct sites (fractional):
Pm 0.000 0.000 0.000 [2 per cell]
Tm 0.000 0.000 0.500 [2 per cell]
Tm 0.189 0.500 0.085 [4 per cell]
Tm 0.198 0.500 0.612 [4 per cell]
Bi 0.065 0.500 0.773 [4 per cell]
Bi 0.136 0.000 0.327 [4 per cell]